(1)
Computed, not measured: a relaxed structure of RbBaBeH6 at the PBE level of DFT.

a b c (Å): 9.276 5.352 4.637
angles (deg): 90.00 90.10 90.00
Space group Cm (No. 8)
Symmetry-distinct sites (fractional):
Rb1 0.000 0.000 0.000
Ba1 0.333 0.000 0.451
Be1 0.167 0.500 0.716
H1 0.021 0.500 0.905
H2 0.096 0.289 0.518
H3 0.240 0.280 0.904
H4 0.307 0.500 0.518

- E_tot: -3.034 eV/atom

---

(2)
Computed, not measured: a relaxed structure of Ba2BeHRh at the PBE level of DFT.

a b c (Å): 5.948 5.948 3.578
angles (deg): 90.00 90.00 90.00
Space group P4/mmm (No. 123)
Symmetry-distinct sites (fractional):
Ba1 0.000 0.500 0.000
Be1 0.000 0.000 0.500
H1 0.500 0.500 0.500
Rh1 0.500 0.500 0.000

- E_tot: -3.406 eV/atom

---

(3)
Computed, not measured: a relaxed structure of BaBeH2Rh at the PBE level of DFT.

a b c (Å): 4.215 4.215 4.210
angles (deg): 90.00 90.00 90.00
Space group P4/mmm (No. 123)
Symmetry-distinct sites (fractional):
Ba1 0.000 0.000 0.000
Be1 0.500 0.500 0.000
H1 0.000 0.500 0.500
Rh1 0.500 0.500 0.500

- E_tot: -3.991 eV/atom

---

(4)
Computed, not measured: a relaxed structure of BaBeSnH6 at the PBE level of DFT.

a b c (Å): 4.732 4.762 5.850
angles (deg): 75.93 77.64 86.21
Space group P1 (No. 1)
Symmetry-distinct sites (fractional):
Ba1 0.000 0.000 0.000
Be1 0.736 0.709 0.663
Sn1 0.441 0.432 0.371
H1 0.427 0.826 0.257
H2 0.549 0.856 0.827
H3 0.551 0.465 0.654
H4 0.823 0.448 0.219
H5 0.863 0.911 0.453
H6 0.957 0.556 0.781

- E_tot: -3.436 eV/atom

---

(5)
Computed, not measured: a relaxed structure of BaSrBe2H8 at the PBE level of DFT.

a b c (Å): 7.500 4.834 8.524
angles (deg): 90.00 92.77 90.00
Space group C2/m (No. 12)
Symmetry-distinct sites (fractional):
Ba1 0.000 0.000 0.000
Sr1 0.000 0.000 0.500
Be1 0.077 0.500 0.263
H1 0.035 0.262 0.740
H2 0.168 0.500 0.113
H3 0.176 0.500 0.414

- E_tot: -3.548 eV/atom

---

(6)
Computed, not measured: a relaxed structure of BaBe2ZnH8 at the PBE level of DFT.

a b c (Å): 4.7842 4.7842 6.9656
angles (deg): 90.00 90.00 120.00
Space group P-3m1 (No. 164)
Symmetry-distinct sites (fractional):
Ba1 0.0000 0.0000 0.0000
Be1 0.3333 0.6667 0.2735
Zn1 0.0000 0.0000 0.5000
H1 0.1672 0.3344 0.3346
H2 0.3333 0.6667 0.0649

- E_tot: -3.297 eV/atom

---

(7)
Computed, not measured: a relaxed structure of BaZrBeH2 at the PBE level of DFT.

a b c (Å): 4.452 4.452 4.709
angles (deg): 90.00 90.00 90.00
Space group P4/mmm (No. 123)
Symmetry-distinct sites (fractional):
Ba1 0.000 0.000 0.000
Zr1 0.500 0.500 0.000
Be1 0.500 0.500 0.500
H1 0.000 0.500 0.500

- E_tot: -3.102 eV/atom

---

(8)
Computed, not measured: a relaxed structure of Ba2Hf2Be at the PBE level of DFT.

a b c (Å): 3.999 3.999 21.205
angles (deg): 90.00 90.00 90.00
Space group I4/mmm (No. 139)
Symmetry-distinct sites (fractional):
Ba1 0.000 0.000 0.091
Hf1 0.000 0.500 0.250
Be1 0.000 0.000 0.500

- ΔE to the lowest computed polymorph: 0.000 eV per atom
- E_tot: -4.713 eV/atom

---

(9)
Computed, not measured: a relaxed structure of BaHfBe at the PBE level of DFT.

a b c (Å): 4.412 4.412 10.894
angles (deg): 90.05 90.12 119.98
Space group P-1 (No. 2)
Symmetry-distinct sites (fractional):
Ba1 0.164 0.331 0.192
Hf1 0.167 0.334 0.568
Be1 0.499 0.999 0.405

- E_tot: -4.926 eV/atom

---

(10)
Computed, not measured: a relaxed structure of Ba2Hf2Be at the PBE level of DFT.

a b c (Å): 7.831 7.831 5.440
angles (deg): 90.00 90.00 90.00
Space group P4/mbm (No. 127)
Symmetry-distinct sites (fractional):
Ba1 0.155 0.345 0.000
Hf1 0.133 0.633 0.500
Be1 0.000 0.000 0.000

- ΔE to the lowest computed polymorph: 0.651 eV per atom
- E_tot: -4.063 eV/atom

---

(11)
Computed, not measured: a relaxed structure of BaHfBe2 at the PBE level of DFT.

a b c (Å): 6.980 6.980 6.980
angles (deg): 90.00 90.00 90.00
Space group Fm-3m (No. 225)
Symmetry-distinct sites (fractional):
Ba1 0.000 0.000 0.000
Hf1 0.000 0.000 0.500
Be1 0.250 0.250 0.250

- ΔE to the lowest computed polymorph: 0.000 eV per atom
- E_tot: -4.005 eV/atom

---

(12)
Computed, not measured: a relaxed structure of BaHf2Be at the PBE level of DFT.

a b c (Å): 5.450 5.450 17.661
angles (deg): 90.00 90.00 90.00
Space group I4_1/amd (No. 141, origin choice 2)
Symmetry-distinct sites (fractional):
Ba1 0.000 0.250 0.375
Hf1 0.000 0.000 0.000
Be1 0.000 0.250 0.875

- E_tot: -5.249 eV/atom

---

(13)
Computed, not measured: a relaxed structure of BaHfBe3 at the PBE level of DFT.

a b c (Å): 5.010 5.010 5.010
angles (deg): 90.00 90.00 90.00
Space group Pm-3m (No. 221)
Symmetry-distinct sites (fractional):
Ba1 0.000 0.000 0.000
Hf1 0.500 0.500 0.500
Be1 0.000 0.500 0.500

- ΔE to the lowest computed polymorph: 0.000 eV per atom
- E_tot: -3.556 eV/atom

---

(14)
Computed, not measured: a relaxed structure of BaHfBe3 at the PBE level of DFT.

a b c (Å): 4.722 4.722 4.722
angles (deg): 90.00 90.00 90.00
Space group Pm-3m (No. 221)
Symmetry-distinct sites (fractional):
Ba1 0.000 0.000 0.000
Hf1 0.500 0.500 0.500
Be1 0.000 0.000 0.500

- ΔE to the lowest computed polymorph: 1.055 eV per atom
- E_tot: -2.501 eV/atom

---

(15)
Computed, not measured: a relaxed structure of BaHfBe2 at the PBE level of DFT.

a b c (Å): 7.592 7.592 7.089
angles (deg): 90.00 90.00 90.00
Space group I-42d (No. 122)
Symmetry-distinct sites (fractional):
Ba1 0.000 0.000 0.000
Hf1 0.000 0.000 0.500
Be1 0.184 0.750 0.625

- ΔE to the lowest computed polymorph: 0.193 eV per atom
- E_tot: -3.812 eV/atom

---

(16)
Computed, not measured: a relaxed structure of BaHfMgBe2 at the PBE level of DFT.

a b c (Å): 5.014 5.014 5.615
angles (deg): 90.00 90.00 90.00
Space group P4/mmm (No. 123)
Symmetry-distinct sites (fractional):
Ba1 0.000 0.000 0.000
Hf1 0.500 0.500 0.500
Mg1 0.500 0.500 0.000
Be1 0.000 0.500 0.500

- E_tot: -3.249 eV/atom

---

(17)
Computed, not measured: a relaxed structure of Ba2HfMgBe at the PBE level of DFT.

a b c (Å): 6.266 6.266 4.822
angles (deg): 90.00 90.00 90.00
Space group P4/mmm (No. 123)
Symmetry-distinct sites (fractional):
Ba1 0.000 0.500 0.000
Hf1 0.000 0.000 0.500
Mg1 0.500 0.500 0.500
Be1 0.000 0.000 0.000

- E_tot: -3.127 eV/atom

---

(18)
Computed, not measured: a relaxed structure of Ba2HfBeN at the PBE level of DFT.

a b c (Å): 5.857 5.857 4.733
angles (deg): 90.00 90.00 90.00
Space group P4/mmm (No. 123)
Symmetry-distinct sites (fractional):
Ba1 0.000 0.500 0.000
Hf1 0.000 0.000 0.500
Be1 0.000 0.000 0.000
N1 0.500 0.500 0.500

- Raw formation energy: 1.40 eV per atom
- E_tot: -3.766 eV/atom

---

(19)
Computed, not measured: a relaxed structure of Ba2HfBe2O6 at the PBE level of DFT.

a b c (Å): 5.5841 5.5841 16.7608
angles (deg): 90.00 90.00 120.00
Space group R-3m (No. 166, hexagonal axes)
Symmetry-distinct sites (fractional):
Ba1 0.0000 0.0000 0.2228
Hf1 0.0000 0.0000 0.0000
Be1 0.0000 0.0000 0.4124
O1 0.0125 0.5062 0.2578

- Raw formation energy: -2.97 eV per atom
- E_tot: -7.608 eV/atom

---

(20)
Computed, not measured: a relaxed structure of BaHf2BeSb at the PBE level of DFT.

a b c (Å): 5.410 5.410 5.935
angles (deg): 90.00 90.00 90.00
Space group P4/mmm (No. 123)
Symmetry-distinct sites (fractional):
Ba1 0.000 0.000 0.000
Hf1 0.000 0.500 0.000
Be1 0.500 0.500 0.500
Sb1 0.000 0.000 0.500

- Raw formation energy: 2.37 eV per atom
- E_tot: -3.567 eV/atom

---

(21)
Computed, not measured: a relaxed structure of BaSrHfBe2 at the PBE level of DFT.

a b c (Å): 5.450 5.450 5.522
angles (deg): 90.00 90.00 90.00
Space group P4/mmm (No. 123)
Symmetry-distinct sites (fractional):
Ba1 0.000 0.000 0.000
Sr1 0.500 0.500 0.500
Hf1 0.500 0.500 0.000
Be1 0.000 0.500 0.500

- E_tot: -2.571 eV/atom

---

(22)
Computed, not measured: a relaxed structure of BaBeHg at the PBE level of DFT.

a b c (Å): 7.149 7.149 7.149
angles (deg): 90.00 90.00 90.00
Space group F-43m (No. 216)
Symmetry-distinct sites (fractional):
Ba1 0.000 0.000 0.000
Be1 0.250 0.250 0.250
Hg1 0.000 0.000 0.500

- ΔE to the lowest computed polymorph: 0.277 eV per atom
- E_tot: -1.673 eV/atom

---

(23)
Computed, not measured: a relaxed structure of Ba2BeHg at the PBE level of DFT.

a b c (Å): 4.034 5.838 10.899
angles (deg): 90.00 90.00 90.00
Space group Imm2 (No. 44)
Symmetry-distinct sites (fractional):
Ba1 0.000 0.000 0.000
Ba2 0.000 0.500 0.183
Be1 0.000 0.500 0.772
Hg1 0.000 0.000 0.394

- ΔE to the lowest computed polymorph: 0.066 eV per atom
- E_tot: -1.929 eV/atom

---

(24)
Computed, not measured: a relaxed structure of Ba2BeHg at the PBE level of DFT.

a b c (Å): 5.465 4.579 6.230
angles (deg): 90.00 115.94 90.00
Space group Pm (No. 6)
Symmetry-distinct sites (fractional):
Ba1 0.000 0.000 0.000
Ba2 0.305 0.500 0.610
Be1 0.682 0.000 0.366
Hg1 0.618 0.500 0.235

- ΔE to the lowest computed polymorph: 0.000 eV per atom
- E_tot: -1.994 eV/atom

---

(25)
Computed, not measured: a relaxed structure of BaBeHg at the PBE level of DFT.

a b c (Å): 7.654 7.654 7.654
angles (deg): 90.00 90.00 90.00
Space group F-43m (No. 216)
Symmetry-distinct sites (fractional):
Ba1 0.000 0.000 0.000
Be1 0.250 0.250 0.250
Hg1 0.250 0.250 0.750

- ΔE to the lowest computed polymorph: 0.599 eV per atom
- E_tot: -1.351 eV/atom

---

(26)
Computed, not measured: a relaxed structure of Ba2BeHg at the PBE level of DFT.

a b c (Å): 8.217 8.217 8.217
angles (deg): 90.00 90.00 90.00
Space group Fm-3m (No. 225)
Symmetry-distinct sites (fractional):
Ba1 0.250 0.250 0.250
Be1 0.000 0.000 0.000
Hg1 0.000 0.000 0.500

- ΔE to the lowest computed polymorph: 0.089 eV per atom
- E_tot: -1.906 eV/atom

---

(27)
Computed, not measured: a relaxed structure of BaBe2Hg2 at the PBE level of DFT.

a b c (Å): 4.486 4.486 11.396
angles (deg): 90.00 90.00 90.00
Space group I4/mmm (No. 139)
Symmetry-distinct sites (fractional):
Ba1 0.000 0.000 0.000
Be1 0.000 0.500 0.250
Hg1 0.000 0.000 0.342

- E_tot: -1.964 eV/atom